## CsDyAgBr6 (GGA-PBE)

Data for a relaxed structure of CsDyAgBr6.

a = 7.1545 Å, b = 7.1664 Å, c = 8.1302 Å
α = 92.47°, β = 92.66°, γ = 115.01°
Space group P1 (No. 1)
Symmetry-distinct sites (fractional):
Cs 0.0000 0.0000 0.0000 (multiplicity 1)
Dy 0.3416 0.6604 0.5005 (multiplicity 1)
Ag 0.6886 0.3152 0.4986 (multiplicity 1)
Br 0.0288 0.3524 0.6708 (multiplicity 1)
Br 0.0364 0.6119 0.2655 (multiplicity 1)
Br 0.3897 0.9627 0.7361 (multiplicity 1)
Br 0.4173 0.3662 0.2952 (multiplicity 1)
Br 0.6368 0.5833 0.7041 (multiplicity 1)
Br 0.6467 0.9730 0.3282 (multiplicity 1)

Summary:
As for the crystal system: triclinic.

## Cs4DyAg3Br12 (GGA-PBE)

Data for a relaxed structure of Cs4DyAg3Br12.

a = 11.1944 Å, b = 11.1944 Å, c = 11.1944 Å
α = 90.00°, β = 90.00°, γ = 90.00°
Space group Im-3m (No. 229)
Symmetry-distinct sites (fractional):
Cs 0.2500 0.2500 0.2500 (multiplicity 8)
Dy 0.0000 0.0000 0.0000 (multiplicity 2)
Ag 0.0000 0.0000 0.5000 (multiplicity 6)
Br 0.0000 0.0000 0.2473 (multiplicity 12)
Br 0.0000 0.2500 0.5000 (multiplicity 12)

Summary:
As for the crystal system: cubic.

## CsDyAg2Br6 (GGA-PBE)

Data for a relaxed structure of CsDyAg2Br6.

a = 7.8795 Å, b = 7.8795 Å, c = 20.7030 Å
α = 90.00°, β = 90.00°, γ = 120.00°
Space group R3 (No. 146, hexagonal axes)
Symmetry-distinct sites (fractional):
Cs 0.0000 0.0000 0.0000 (multiplicity 3)
Dy 0.0000 0.0000 0.4961 (multiplicity 3)
Ag 0.0000 0.0000 0.2461 (multiplicity 3)
Ag 0.0000 0.0000 0.6971 (multiplicity 3)
Br 0.0060 0.6184 0.0979 (multiplicity 9)
Br 0.0929 0.3706 0.2561 (multiplicity 9)

Summary:
As for the crystal system: trigonal.

## Cs3ErAg2Br8 (GGA-PBE)

Data for a relaxed structure of Cs3ErAg2Br8.

a = 7.9283 Å, b = 7.9283 Å, c = 10.5721 Å
α = 90.00°, β = 90.00°, γ = 120.00°
Space group P-3m1 (No. 164)
Symmetry-distinct sites (fractional):
Cs 0.0000 0.0000 0.0000 (multiplicity 1)
Cs 0.3333 0.6667 0.6312 (multiplicity 2)
Er 0.0000 0.0000 0.5000 (multiplicity 1)
Ag 0.3333 0.6667 0.1968 (multiplicity 2)
Br 0.1623 0.3246 0.3435 (multiplicity 6)
Br 0.3333 0.6667 0.9577 (multiplicity 2)

Summary:
As for the crystal system: trigonal.

## Cs2ErAgBr6 (GGA-PBE)

Data for a relaxed structure of Cs2ErAgBr6.

a = 8.0033 Å, b = 11.4097 Å, c = 8.0049 Å
α = 90.00°, β = 90.00°, γ = 90.00°
Space group Pmmn (No. 59, origin choice 2)
Symmetry-distinct sites (fractional):
Cs 0.2500 0.0000 0.2498 (multiplicity 4)
Er 0.2500 0.2500 0.7489 (multiplicity 2)
Ag 0.2500 0.7500 0.7513 (multiplicity 2)
Br 0.0042 0.2500 0.9944 (multiplicity 4)
Br 0.0046 0.2500 0.5033 (multiplicity 4)
Br 0.2500 0.0065 0.7496 (multiplicity 4)

Summary:
As for the crystal system: orthorhombic.

## CsEr2AgBr8 (GGA-PBE)

Data for a relaxed structure of CsEr2AgBr8.

a = 7.5214 Å, b = 7.5214 Å, c = 27.0026 Å
α = 90.00°, β = 90.00°, γ = 120.00°
Space group R-3 (No. 148, hexagonal axes)
Symmetry-distinct sites (fractional):
Cs 0.0000 0.0000 0.0000 (multiplicity 3)
Er 0.0000 0.0000 0.1960 (multiplicity 6)
Ag 0.0000 0.0000 0.5000 (multiplicity 3)
Br 0.0000 0.0000 0.2956 (multiplicity 6)
Br 0.0217 0.2931 0.1191 (multiplicity 18)

Summary:
As for the crystal system: trigonal.

## CsErAgBr6 (GGA-PBE)

Data for a relaxed structure of CsErAgBr6.

a = 7.1373 Å, b = 7.1495 Å, c = 8.1195 Å
α = 92.38°, β = 92.58°, γ = 115.12°
Space group P1 (No. 1)
Symmetry-distinct sites (fractional):
Cs 0.0000 0.0000 0.0000 (multiplicity 1)
Er 0.3422 0.6600 0.5003 (multiplicity 1)
Ag 0.6885 0.3159 0.4983 (multiplicity 1)
Br 0.0303 0.3538 0.6700 (multiplicity 1)
Br 0.0389 0.6141 0.2680 (multiplicity 1)
Br 0.3874 0.9604 0.7332 (multiplicity 1)
Br 0.4169 0.3687 0.2954 (multiplicity 1)
Br 0.6350 0.5842 0.7034 (multiplicity 1)
Br 0.6453 0.9719 0.3286 (multiplicity 1)

Summary:
As for the crystal system: triclinic.

## CsErAgBr5 (GGA-PBE)

Data for a relaxed structure of CsErAgBr5.

a = 9.4758 Å, b = 13.1626 Å, c = 10.7183 Å
α = 90.00°, β = 110.66°, γ = 90.00°
Space group C2/c (No. 15)
Symmetry-distinct sites (fractional):
Cs 0.0000 0.1567 0.2500 (multiplicity 4)
Er 0.0000 0.5000 0.0000 (multiplicity 4)
Ag 0.0000 0.1883 0.7500 (multiplicity 4)
Br 0.0000 0.4372 0.2500 (multiplicity 4)
Br 0.0971 0.3042 0.5865 (multiplicity 8)
Br 0.2018 0.0630 0.9359 (multiplicity 8)

Summary:
As for the crystal system: monoclinic.

These records have formation energy (no corrections) values of -1134 -2358 -1178 -1875 -1515 -1807 -1131 -1144 kJ/mol of formula units, in the order they appear.